No. 1
Density functional theory data (PBE) for K2ClF after structural relaxation.

a b c (Å): 7.3283 7.3283 6.7867
angles (deg): 57.32 57.32 90.00
Positions (direct):
K 0.8750 0.8186 0.7500
K 0.5686 0.1250 0.2500
K 0.1814 0.6250 0.2500
K 0.3750 0.4314 0.7500
F 0.5000 0.5000 0.0000
F 0.2500 0.7500 0.5000
Cl 0.0000 0.0000 0.0000
Cl 0.7500 0.2500 0.5000

Values from the calculation:
- M_tot: 0.00 μB/f.u.
- ΔE to the lowest computed polymorph: 0.039 eV/atom
- Crystal system: tetragonal
- SG: No. 122
- Formation energy without anion corrections: -2266 meV per atom

No. 2
Density functional theory data (PBE) for Nd2MgHg6 after structural relaxation.

a b c (Å): 6.0428 6.6634 6.6634
angles (deg): 57.74 87.18 87.18
Positions (direct):
Hg 0.6883 0.1768 0.6463
Hg 0.3202 0.8156 0.8156
Hg 0.6798 0.1844 0.1844
Hg 0.3117 0.8232 0.3537
Hg 0.3117 0.3537 0.8232
Hg 0.6883 0.6463 0.1768
Nd 0.8316 0.6654 0.6654
Nd 0.1684 0.3346 0.3346
Mg 0.0000 0.0000 0.0000

Values from the calculation:
- M_tot: 0.00 μB/f.u.
- Crystal system: monoclinic
- SG: No. 12
- ΔH_f (0 K): -0.3228 eV per atom

No. 3
Density functional theory data (PBE) for Ni2HPb after structural relaxation.

a b c (Å): 4.2506 4.2506 4.2506
angles (deg): 60.00 60.00 60.00
Positions (direct):
Ni 0.2500 0.2500 0.2500
Ni 0.7500 0.7500 0.7500
H 0.0000 0.0000 0.0000
Pb 0.5000 0.5000 0.5000

Values from the calculation:
- M_tot: 0.00 μB/f.u.
- ΔE to the lowest computed polymorph: 0.615 eV/atom
- Crystal system: cubic
- SG: No. 225

No. 4
Density functional theory data (PBE) for Nd3BeGe3 after structural relaxation.

a b c (Å): 4.0245 4.3928 9.5636
angles (deg): 103.28 102.15 90.00
Positions (direct):
Ge 0.1456 0.6456 0.2913
Ge 0.5554 0.5554 0.1108
Ge 0.8663 0.3663 0.7327
Nd 0.6838 0.1838 0.3675
Nd 0.3180 0.8180 0.6360
Nd 0.9997 0.9997 0.9994
Be 0.4312 0.4312 0.8623

Values from the calculation:
- M_tot: 0.68 μB/f.u.
- Crystal system: orthorhombic
- SG: No. 44
- ΔH_f (0 K): -0.7193 eV per atom